Entry 1:
Compound: Sr2CaBr
Source: Alexandria
Functional: PBE-GGA
Structure: optimized geometry

Cell: 6.4390 6.4390 6.4390 Å, 60.00 60.00 60.00°
With the nearest neighbours (Å) after each atom.
Sites, in units of the cell vectors:
Sr 0.2500 0.2500 0.2500  4 Br 3.94, 4 Sr 3.94
Ca 0.7500 0.7500 0.7500  4 Br 3.94, 4 Sr 3.94
Br 0.5000 0.5000 0.5000  4 Ca 3.94, 4 Sr 3.94
Sr 0.0000 0.0000 0.0000  4 Ca 3.94, 4 Sr 3.94

Summary:
uncorrected energy	-1.9527	eV/atom
formation energy from raw total energies	-0.77	eV per formula unit
total magnetization	0.00	μB per formula unit

Entry 2:
Compound: Sr2CaBr
Source: Alexandria
Functional: PBE-GGA
Structure: optimized geometry

Cell: 3.9408 3.9408 10.8026 Å, 90.00 90.00 90.00°
With the nearest neighbours (Å) after each atom.
Sites, in units of the cell vectors:
Sr 0.5000 0.5000 0.2959  4 Br 3.46
Br 0.0000 0.0000 0.4850  4 Sr 3.46, 4 Ca 3.80
Sr 0.0000 0.0000 0.9954  8 Sr 3.94-4.28, 4 Ca 4.05
Ca 0.5000 0.5000 0.7237  4 Br 3.80, 4 Ca 3.94, 4 Sr 4.05

Summary:
uncorrected energy	-2.3637	eV/atom
formation energy from raw total energies	-2.42	eV per formula unit
total magnetization	0.00	μB per formula unit

Entry 3:
Compound: SrCa2Br
Source: Alexandria
Functional: PBE-GGA
Structure: optimized geometry

Cell: 7.6768 7.6768 7.6768 Å, 142.72 142.72 53.74°
With the nearest neighbours (Å) after each atom.
Sites, in units of the cell vectors:
Ca 0.0000 0.0000 0.0000  4 Ca 3.47
Sr 0.2500 0.7500 0.5000  4 Br 3.47
Ca 0.5000 0.5000 0.0000  4 Ca 3.47
Br 0.7500 0.2500 0.5000  4 Sr 3.47

Summary:
uncorrected energy	-2.2519	eV/atom
formation energy from raw total energies	-1.65	eV per formula unit
total magnetization	0.00	μB per formula unit

Entry 4:
Compound: Sr2CaBr
Source: Alexandria
Functional: PBE-GGA
Structure: optimized geometry

Cell: 11.5946 11.5946 11.5946 Å, 20.50 20.50 20.50°
With the nearest neighbours (Å) after each atom.
Sites, in units of the cell vectors:
Ca 0.7659 0.7659 0.7659  3 Br 3.24
Sr 0.0029 0.0029 0.0029  3 Ca 4.05, 9 Sr 4.13-4.21
Sr 0.2341 0.2341 0.2341  3 Br 3.38
Br 0.4971 0.4971 0.4971  3 Ca 3.24, 3 Sr 3.38

Summary:
uncorrected energy	-2.4429	eV/atom
formation energy from raw total energies	-2.73	eV per formula unit
total magnetization	0.56	μB per formula unit

Entry 5:
Compound: SrCa2Br
Source: Alexandria
Functional: PBE-GGA
Structure: optimized geometry

Cell: 7.0249 7.0249 6.9091 Å, 61.65 61.65 32.51°
With the nearest neighbours (Å) after each atom.
Sites, in units of the cell vectors:
Sr 0.5498 0.5498 0.3992  2 Br 3.41
Br 0.2641 0.2641 0.3665  4 Ca 3.14-3.21, 2 Sr 3.41
Ca 0.9459 0.9459 0.9932  2 Br 3.21
Ca 0.7403 0.7403 0.7410  2 Br 3.14

Summary:
uncorrected energy	-2.4328	eV/atom
formation energy from raw total energies	-2.37	eV per formula unit
total magnetization	0.04	μB per formula unit

Entry 6:
Compound: SrCaBr2
Source: Alexandria
Functional: PBE-GGA
Structure: optimized geometry

Cell: 5.5450 5.5450 5.5450 Å, 60.00 60.00 60.00°
With the nearest neighbours (Å) after each atom.
Sites, in units of the cell vectors:
Ca 0.0000 0.0000 0.0000  8 Br 3.40
Br 0.7500 0.7500 0.7500  4 Ca 3.40, 4 Sr 3.40
Br 0.2500 0.2500 0.2500  4 Ca 3.40, 4 Sr 3.40
Sr 0.5000 0.5000 0.5000  8 Br 3.40

Summary:
uncorrected energy	-2.8299	eV/atom
formation energy from raw total energies	-4.29	eV per formula unit
total magnetization	1.40	μB per formula unit